Run a
{
  "formula": "AsRh2S2",
  "functional": "PBE",
  "state": "relaxed",
  "magnetic_moment_mub_per_fu": 0.0,
  "spacegroup": "P4/mbm",
  "cell": [[7.4282, 0.0000, 0.0000], [0.0000, 7.4282, 0.0000], [0.0000, 0.0000, 2.9508]],
  "species": ["As", "As", "Rh", "Rh", "Rh", "Rh", "S", "S", "S", "S"],
  "frac_coords": [[0.0000, 0.0000, 0.0000], [0.5000, 0.5000, 0.0000], [0.1935, 0.3065, 0.0000], [0.3065, 0.8065, 0.0000], [0.6935, 0.1935, 0.0000], [0.8065, 0.6935, 0.0000], [0.1422, 0.6422, 0.5000], [0.3578, 0.1422, 0.5000], [0.6422, 0.8578, 0.5000], [0.8578, 0.3578, 0.5000]]
}



Run b
{
  "formula": "AsRh2S2",
  "functional": "PBE",
  "state": "relaxed",
  "magnetic_moment_mub_per_fu": 0.0,
  "spacegroup": "I4/mmm",
  "cell": [[-1.9586, 1.9586, 5.4327], [1.9586, -1.9586, 5.4327], [1.9586, 1.9586, -5.4327]],
  "species": ["As", "Rh", "Rh", "S", "S"],
  "frac_coords": [[0.0000, 0.0000, 0.0000], [0.3785, 0.3785, 0.0000], [0.6215, 0.6215, 0.0000], [0.2500, 0.7500, 0.5000], [0.7500, 0.2500, 0.5000]]
}



Stability ranking, top entry: run a; the second entry is 0.103 eV/atom less favorable.



Run a
{
  "formula": "AsRh3S",
  "functional": "PBE",
  "state": "relaxed",
  "magnetic_moment_mub_per_fu": 1.5,
  "spacegroup": "Pm-3m",
  "cell": [[4.5655, 0.0000, 0.0000], [0.0000, 4.5655, 0.0000], [0.0000, 0.0000, 4.5655]],
  "species": ["As", "Rh", "Rh", "Rh", "S"],
  "frac_coords": [[0.0000, 0.0000, 0.0000], [0.0000, 0.0000, 0.5000], [0.0000, 0.5000, 0.0000], [0.5000, 0.0000, 0.0000], [0.5000, 0.5000, 0.5000]]
}



Run b
{
  "formula": "AsRh3S",
  "functional": "PBE",
  "state": "relaxed",
  "magnetic_moment_mub_per_fu": 0.4,
  "spacegroup": "Pm-3m",
  "cell": [[4.4017, 0.0000, 0.0000], [0.0000, 4.4017, 0.0000], [0.0000, 0.0000, 4.4017]],
  "species": ["As", "Rh", "Rh", "Rh", "S"],
  "frac_coords": [[0.0000, 0.0000, 0.0000], [0.0000, 0.5000, 0.5000], [0.5000, 0.0000, 0.5000], [0.5000, 0.5000, 0.0000], [0.5000, 0.5000, 0.5000]]
}



Stability ranking, top entry: run b; the second entry is 0.495 eV/atom less favorable.



Run a
{
  "formula": "As2RhSeS",
  "functional": "PBE",
  "state": "relaxed",
  "magnetic_moment_mub_per_fu": 0.0,
  "spacegroup": "P4/mmm",
  "cell": [[4.7057, 0.0000, 0.0000], [0.0000, 4.7057, 0.0000], [0.0000, 0.0000, 5.0657]],
  "species": ["As", "As", "Rh", "Se", "S"],
  "frac_coords": [[0.0000, 0.5000, 0.0000], [0.5000, 0.0000, 0.0000], [0.0000, 0.0000, 0.0000], [0.0000, 0.0000, 0.5000], [0.5000, 0.5000, 0.5000]]
}



Run b
{
  "formula": "As2RhSeS",
  "functional": "PBE",
  "state": "relaxed",
  "magnetic_moment_mub_per_fu": 0.0,
  "spacegroup": "P4/mmm",
  "cell": [[4.7114, 0.0000, 0.0000], [0.0000, 4.7114, 0.0000], [0.0000, 0.0000, 4.6491]],
  "species": ["As", "As", "Rh", "Se", "S"],
  "frac_coords": [[0.0000, 0.5000, 0.0000], [0.5000, 0.0000, 0.0000], [0.0000, 0.0000, 0.5000], [0.5000, 0.5000, 0.5000], [0.5000, 0.5000, 0.0000]]
}



Stability ranking, top entry: run a; the second entry is 0.281 eV/atom less favorable.



Run a
{
  "formula": "SbAsRh",
  "functional": "PBE",
  "state": "relaxed",
  "magnetic_moment_mub_per_fu": 0.0,
  "spacegroup": "P3m1",
  "cell": [[3.5645, 0.0000, 0.0000], [-1.7823, 3.0870, 0.0000], [0.0000, 0.0000, 5.4693]],
  "species": ["Sb", "As", "Rh"],
  "frac_coords": [[0.0000, 0.0000, 0.0000], [0.6667, 0.3333, 0.4219], [0.3333, 0.6667, 0.6749]]
}



Run b
{
  "formula": "SbAsRh",
  "functional": "PBE",
  "state": "relaxed",
  "magnetic_moment_mub_per_fu": 0.0,
  "spacegroup": "F-43m",
  "cell": [[0.0000, 3.1274, 3.1274], [3.1274, 0.0000, 3.1274], [3.1274, 3.1274, 0.0000]],
  "species": ["Sb", "As", "Rh"],
  "frac_coords": [[0.0000, 0.0000, 0.0000], [0.5000, 0.5000, 0.5000], [0.7500, 0.7500, 0.7500]]
}



Run c
{
  "formula": "SbAsRh",
  "functional": "PBE",
  "state": "relaxed",
  "magnetic_moment_mub_per_fu": 0.0,
  "spacegroup": "P2_1/c",
  "cell": [[6.4265, 0.0000, 0.0000], [0.0000, 6.3980, 0.0000], [-2.7360, 0.0000, 5.8775]],
  "species": ["Sb", "Sb", "Sb", "Sb", "As", "As", "As", "As", "Rh", "Rh", "Rh", "Rh"],
  "frac_coords": [[0.1552, 0.1297, 0.3667], [0.1552, 0.3703, 0.8667], [0.8448, 0.6297, 0.1333], [0.8448, 0.8703, 0.6333], [0.3472, 0.6375, 0.6753], [0.3472, 0.8625, 0.1753], [0.6528, 0.1375, 0.8247], [0.6528, 0.3625, 0.3247], [0.2848, 0.5078, 0.2944], [0.2848, 0.9922, 0.7944], [0.7152, 0.0078, 0.2056], [0.7152, 0.4922, 0.7056]]
}



Stability ranking, top entry: run c; the second entry is 0.213 eV/atom less favorable.



Run a
{
  "formula": "SbAsRh",
  "functional": "PBE",
  "state": "relaxed",
  "magnetic_moment_mub_per_fu": 0.0,
  "spacegroup": "P2_13",
  "cell": [[6.2319, 0.0000, 0.0000], [0.0000, 6.2319, 0.0000], [0.0000, 0.0000, 6.2319]],
  "species": ["Sb", "Sb", "Sb", "Sb", "As", "As", "As", "As", "Rh", "Rh", "Rh", "Rh"],
  "frac_coords": [[0.1263, 0.3737, 0.6263], [0.3737, 0.6263, 0.1263], [0.6263, 0.1263, 0.3737], [0.8737, 0.8737, 0.8737], [0.1219, 0.1219, 0.1219], [0.3781, 0.8781, 0.6219], [0.6219, 0.3781, 0.8781], [0.8781, 0.6219, 0.3781], [0.0166, 0.9834, 0.4834], [0.4834, 0.0166, 0.9834], [0.5166, 0.5166, 0.5166], [0.9834, 0.4834, 0.0166]]
}



Run b
{
  "formula": "SbAsRh",
  "functional": "PBE",
  "state": "relaxed",
  "magnetic_moment_mub_per_fu": 0.0,
  "spacegroup": "I4mm",
  "cell": [[-1.5679, 1.5679, 6.1055], [1.5679, -1.5679, 6.1055], [1.5679, 1.5679, -6.1055]],
  "species": ["Sb", "As", "Rh"],
  "frac_coords": [[0.0000, 0.0000, 0.0000], [0.7351, 0.7351, 0.0000], [0.3470, 0.3470, 0.0000]]
}



Stability ranking, top entry: run a; the second entry is 0.174 eV/atom less favorable.



Run a
{
  "formula": "SbAs2Rh2",
  "functional": "PBE",
  "state": "relaxed",
  "magnetic_moment_mub_per_fu": 0.0,
  "spacegroup": "I4/mmm",
  "cell": [[-1.9944, 1.9944, 5.8893], [1.9944, -1.9944, 5.8893], [1.9944, 1.9944, -5.8893]],
  "species": ["Sb", "As", "As", "Rh", "Rh"],
  "frac_coords": [[0.0000, 0.0000, 0.0000], [0.2500, 0.7500, 0.5000], [0.7500, 0.2500, 0.5000], [0.3817, 0.3817, 0.0000], [0.6183, 0.6183, 0.0000]]
}



Run b
{
  "formula": "SbAs2Rh2",
  "functional": "PBE",
  "state": "relaxed",
  "magnetic_moment_mub_per_fu": 0.0,
  "spacegroup": "P4/mbm",
  "cell": [[7.5825, 0.0000, 0.0000], [0.0000, 7.5825, 0.0000], [0.0000, 0.0000, 3.0916]],
  "species": ["Sb", "Sb", "As", "As", "As", "As", "Rh", "Rh", "Rh", "Rh"],
  "frac_coords": [[0.0000, 0.0000, 0.0000], [0.5000, 0.5000, 0.0000], [0.1408, 0.3592, 0.5000], [0.3592, 0.8592, 0.5000], [0.6408, 0.1408, 0.5000], [0.8592, 0.6408, 0.5000], [0.1341, 0.6341, 0.0000], [0.3659, 0.1341, 0.0000], [0.6341, 0.8659, 0.0000], [0.8659, 0.3659, 0.0000]]
}



Stability ranking, top entry: run b; the second entry is 0.064 eV/atom less favorable.



Run a
{
  "formula": "Sb3AsRh",
  "functional": "PBE",
  "state": "relaxed",
  "magnetic_moment_mub_per_fu": 0.0,
  "spacegroup": "Pm-3m",
  "cell": [[5.1301, 0.0000, 0.0000], [0.0000, 5.1301, 0.0000], [0.0000, 0.0000, 5.1301]],
  "species": ["Sb", "Sb", "Sb", "As", "Rh"],
  "frac_coords": [[0.0000, 0.0000, 0.5000], [0.0000, 0.5000, 0.0000], [0.5000, 0.0000, 0.0000], [0.5000, 0.5000, 0.5000], [0.0000, 0.0000, 0.0000]]
}



Run b
{
  "formula": "Sb3AsRh",
  "functional": "PBE",
  "state": "relaxed",
  "magnetic_moment_mub_per_fu": 0.0,
  "spacegroup": "Pm-3m",
  "cell": [[5.2098, 0.0000, 0.0000], [0.0000, 5.2098, 0.0000], [0.0000, 0.0000, 5.2098]],
  "species": ["Sb", "Sb", "Sb", "As", "Rh"],
  "frac_coords": [[0.0000, 0.0000, 0.5000], [0.0000, 0.5000, 0.0000], [0.5000, 0.0000, 0.0000], [0.0000, 0.0000, 0.0000], [0.5000, 0.5000, 0.5000]]
}



Stability ranking, top entry: run a; the second entry is 0.644 eV/atom less favorable.



Run a
{
  "formula": "Sc3AsRh",
  "functional": "PBE",
  "state": "relaxed",
  "magnetic_moment_mub_per_fu": 0.0,
  "spacegroup": "Pm-3m",
  "cell": [[4.9249, 0.0000, 0.0000], [0.0000, 4.9249, 0.0000], [0.0000, 0.0000, 4.9249]],
  "species": ["Sc", "Sc", "Sc", "As", "Rh"],
  "frac_coords": [[0.0000, 0.0000, 0.5000], [0.0000, 0.5000, 0.0000], [0.5000, 0.0000, 0.0000], [0.0000, 0.0000, 0.0000], [0.5000, 0.5000, 0.5000]]
}



Run b
{
  "formula": "Sc3AsRh",
  "functional": "PBE",
  "state": "relaxed",
  "magnetic_moment_mub_per_fu": 0.0,
  "spacegroup": "Pm-3m",
  "cell": [[4.9463, 0.0000, 0.0000], [0.0000, 4.9463, 0.0000], [0.0000, 0.0000, 4.9463]],
  "species": ["Sc", "Sc", "Sc", "As", "Rh"],
  "frac_coords": [[0.0000, 0.0000, 0.5000], [0.0000, 0.5000, 0.0000], [0.5000, 0.0000, 0.0000], [0.5000, 0.5000, 0.5000], [0.0000, 0.0000, 0.0000]]
}



Stability ranking, top entry: run b; the second entry is 0.223 eV/atom less favorable.



Run a
{
  "formula": "ScAs3Rh",
  "functional": "PBE",
  "state": "relaxed",
  "magnetic_moment_mub_per_fu": 0.0,
  "spacegroup": "Pm-3m",
  "cell": [[4.9702, 0.0000, 0.0000], [0.0000, 4.9702, 0.0000], [0.0000, 0.0000, 4.9702]],
  "species": ["Sc", "As", "As", "As", "Rh"],
  "frac_coords": [[0.0000, 0.0000, 0.0000], [0.0000, 0.0000, 0.5000], [0.0000, 0.5000, 0.0000], [0.5000, 0.0000, 0.0000], [0.5000, 0.5000, 0.5000]]
}



Run b
{
  "formula": "ScAs3Rh",
  "functional": "PBE",
  "state": "relaxed",
  "magnetic_moment_mub_per_fu": 0.0,
  "spacegroup": "Pm-3m",
  "cell": [[4.8031, 0.0000, 0.0000], [0.0000, 4.8031, 0.0000], [0.0000, 0.0000, 4.8031]],
  "species": ["Sc", "As", "As", "As", "Rh"],
  "frac_coords": [[0.0000, 0.0000, 0.0000], [0.0000, 0.5000, 0.5000], [0.5000, 0.0000, 0.5000], [0.5000, 0.5000, 0.0000], [0.5000, 0.5000, 0.5000]]
}



Stability ranking, top entry: run b; the second entry is 0.557 eV/atom less favorable.



Run a
{
  "formula": "ScAsRhSe2",
  "functional": "PBE",
  "state": "relaxed",
  "magnetic_moment_mub_per_fu": 1.0,
  "spacegroup": "P4/mmm",
  "cell": [[5.0125, 0.0000, 0.0000], [0.0000, 5.0125, 0.0000], [0.0000, 0.0000, 5.0854]],
  "species": ["Sc", "As", "Rh", "Se", "Se"],
  "frac_coords": [[0.0000, 0.0000, 0.0000], [0.0000, 0.0000, 0.5000], [0.5000, 0.5000, 0.5000], [0.0000, 0.5000, 0.0000], [0.5000, 0.0000, 0.0000]]
}



Run b
{
  "formula": "ScAsRhSe2",
  "functional": "PBE",
  "state": "relaxed",
  "magnetic_moment_mub_per_fu": 0.0,
  "spacegroup": "P4/mmm",
  "cell": [[5.0311, 0.0000, 0.0000], [0.0000, 5.0311, 0.0000], [0.0000, 0.0000, 4.5502]],
  "species": ["Sc", "As", "Rh", "Se", "Se"],
  "frac_coords": [[0.0000, 0.0000, 0.0000], [0.5000, 0.5000, 0.0000], [0.5000, 0.5000, 0.5000], [0.0000, 0.5000, 0.5000], [0.5000, 0.0000, 0.5000]]
}



Stability ranking, top entry: run b; the second entry is 0.474 eV/atom less favorable.



Run a
{
  "formula": "As3RhSe",
  "functional": "PBE",
  "state": "relaxed",
  "magnetic_moment_mub_per_fu": 0.0,
  "spacegroup": "Pm-3m",
  "cell": [[4.8755, 0.0000, 0.0000], [0.0000, 4.8755, 0.0000], [0.0000, 0.0000, 4.8755]],
  "species": ["As", "As", "As", "Rh", "Se"],
  "frac_coords": [[0.0000, 0.0000, 0.5000], [0.0000, 0.5000, 0.0000], [0.5000, 0.0000, 0.0000], [0.5000, 0.5000, 0.5000], [0.0000, 0.0000, 0.0000]]
}



Run b
{
  "formula": "As3RhSe",
  "functional": "PBE",
  "state": "relaxed",
  "magnetic_moment_mub_per_fu": 0.0,
  "spacegroup": "Pm-3m",
  "cell": [[4.8190, 0.0000, 0.0000], [0.0000, 4.8190, 0.0000], [0.0000, 0.0000, 4.8190]],
  "species": ["As", "As", "As", "Rh", "Se"],
  "frac_coords": [[0.0000, 0.0000, 0.5000], [0.0000, 0.5000, 0.0000], [0.5000, 0.0000, 0.0000], [0.0000, 0.0000, 0.0000], [0.5000, 0.5000, 0.5000]]
}



Stability ranking, top entry: run b; the second entry is 0.668 eV/atom less favorable.



Run a
{
  "formula": "As2Rh2Se",
  "functional": "PBE",
  "state": "relaxed",
  "magnetic_moment_mub_per_fu": 0.0,
  "spacegroup": "I4/mmm",
  "cell": [[-1.9863, 1.9863, 5.7907], [1.9863, -1.9863, 5.7907], [1.9863, 1.9863, -5.7907]],
  "species": ["As", "As", "Rh", "Rh", "Se"],
  "frac_coords": [[0.2500, 0.7500, 0.5000], [0.7500, 0.2500, 0.5000], [0.1197, 0.1197, 0.0000], [0.8803, 0.8803, 0.0000], [0.5000, 0.5000, 0.0000]]
}



Run b
{
  "formula": "As2Rh2Se",
  "functional": "PBE",
  "state": "relaxed",
  "magnetic_moment_mub_per_fu": 0.0,
  "spacegroup": "P4/mbm",
  "cell": [[7.4944, 0.0000, 0.0000], [0.0000, 7.4944, 0.0000], [0.0000, 0.0000, 3.0210]],
  "species": ["As", "As", "As", "As", "Rh", "Rh", "Rh", "Rh", "Se", "Se"],
  "frac_coords": [[0.1425, 0.3575, 0.0000], [0.3575, 0.8575, 0.0000], [0.6425, 0.1425, 0.0000], [0.8575, 0.6425, 0.0000], [0.1350, 0.6350, 0.5000], [0.3650, 0.1350, 0.5000], [0.6350, 0.8650, 0.5000], [0.8650, 0.3650, 0.5000], [0.0000, 0.0000, 0.5000], [0.5000, 0.5000, 0.5000]]
}



Stability ranking, top entry: run b; the second entry is 0.087 eV/atom less favorable.



Run a
{
  "formula": "AsRhSe4",
  "functional": "PBE",
  "state": "relaxed",
  "magnetic_moment_mub_per_fu": 0.0,
  "spacegroup": "P1",
  "cell": [[4.8393, 0.0000, 0.0000], [2.0044, 4.4630, 0.0000], [1.8916, 0.9982, 5.9242]],
  "species": ["As", "Rh", "Se", "Se", "Se", "Se"],
  "frac_coords": [[0.0000, 0.0000, 0.0000], [0.1399, 0.1164, 0.3009], [0.2515, 0.2587, 0.6187], [0.4627, 0.4016, 0.0274], [0.6499, 0.6269, 0.2910], [0.8294, 0.8217, 0.5700]]
}



Run b
{
  "formula": "AsRhSe4",
  "functional": "PBE",
  "state": "relaxed",
  "magnetic_moment_mub_per_fu": 0.4,
  "spacegroup": "F-43m",
  "cell": [[0.0000, 3.9377, 3.9377], [3.9377, 0.0000, 3.9377], [3.9377, 3.9377, 0.0000]],
  "species": ["As", "Rh", "Se", "Se", "Se", "Se"],
  "frac_coords": [[0.0000, 0.0000, 0.0000], [0.7500, 0.7500, 0.7500], [0.3765, 0.3765, 0.3765], [0.3765, 0.3765, 0.8705], [0.3765, 0.8705, 0.3765], [0.8705, 0.3765, 0.3765]]
}



Stability ranking, top entry: run a; the second entry is 1.104 eV/atom less favorable.